Entry 1:
Compound: HoTmPdPt
Source: Alexandria
Functional: PBE
Structure: optimized geometry

```
data_HoTmPdPt
_cell_length_a 6.940
_cell_length_b 6.940
_cell_length_c 6.940
_cell_angle_alpha 90.00
_cell_angle_beta 90.00
_cell_angle_gamma 90.00
_symmetry_space_group_name_H-M 'F -4 3 m'
_symmetry_Int_Tables_number 216
_symmetry_space_group_name_Hall 'F -4 2 3'
loop_
_atom_site_label
_atom_site_fract_x
_atom_site_fract_y
_atom_site_fract_z
_atom_site_occupancy
Ho1 0.000 0.000 0.000 1
Tm1 0.000 0.000 0.500 1
Pd1 0.250 0.250 0.250 1
Pt1 0.250 0.250 0.750 1
```

Summary:
**Volume**: 20.9 A^3/atom
**Energy relative to the lowest polymorph listed for this composition**: 24 meV per atom
**Magnetization**: 0.00 μB per formula unit
**E_form**: -1.11 eV per atom
**Uncorrected energy**: -6.18 eV per atom

Entry 2:
Compound: SrPm2In
Source: Alexandria
Functional: PBE
Structure: optimized geometry

```
data_SrPm2In
_cell_length_a 5.110
_cell_length_b 5.110
_cell_length_c 5.039
_cell_angle_alpha 90.00
_cell_angle_beta 90.00
_cell_angle_gamma 90.00
_symmetry_space_group_name_H-M 'P 4/m m m'
_symmetry_Int_Tables_number 123
_symmetry_space_group_name_Hall '-P 4 2'
loop_
_atom_site_label
_atom_site_fract_x
_atom_site_fract_y
_atom_site_fract_z
_atom_site_occupancy
Sr1 0.000 0.000 0.000 1
Pm1 0.000 0.500 0.500 1
In1 0.500 0.500 0.000 1
```

Summary:
**Volume**: 32.9 A^3/atom
**Energy relative to the lowest polymorph listed for this composition**: 0 meV per atom
**Magnetization**: 0.00 μB per formula unit
**E_form**: -0.15 eV per atom
**Uncorrected energy**: -3.63 eV per atom

Entry 3:
Compound: PrNi3Sb3
Source: Alexandria
Functional: PBE
Structure: optimized geometry

```
data_PrNi3Sb3
_cell_length_a 6.885
_cell_length_b 6.885
_cell_length_c 6.885
_cell_angle_alpha 90.00
_cell_angle_beta 90.00
_cell_angle_gamma 90.00
_symmetry_space_group_name_H-M 'P m -3 n'
_symmetry_Int_Tables_number 223
_symmetry_space_group_name_Hall '-P 4n 2 3'
loop_
_atom_site_label
_atom_site_fract_x
_atom_site_fract_y
_atom_site_fract_z
_atom_site_occupancy
Pr1 0.000 0.000 0.000 1
Ni1 0.000 0.250 0.500 1
Sb1 0.000 0.500 0.250 1
```

Summary:
**Volume**: 23.3 A^3/atom
**Magnetization**: 0.00 μB per formula unit
**Formation energy from raw total energies**: -0.1855 eV per atom
**Uncorrected energy**: -5.11 eV per atom

Entry 4:
Compound: Sr3Tl
Source: Alexandria
Functional: PBE
Structure: optimized geometry

```
data_Sr3Tl
_cell_length_a 4.2422
_cell_length_b 4.2422
_cell_length_c 12.0224
_cell_angle_alpha 90.00
_cell_angle_beta 90.00
_cell_angle_gamma 120.00
_symmetry_space_group_name_H-M 'P -6 m 2'
_symmetry_Int_Tables_number 187
_symmetry_space_group_name_Hall 'P -6 2'
loop_
_atom_site_label
_atom_site_fract_x
_atom_site_fract_y
_atom_site_fract_z
_atom_site_occupancy
Sr1 0.0000 0.0000 0.0000 1
Sr2 0.3333 0.6667 0.2977 1
Tl1 0.0000 0.0000 0.5000 1
```

Summary:
**Volume**: 46.8 A^3/atom
**Magnetization**: 0.54 μB per formula unit
**E_form**: -0.13 eV per atom
**Uncorrected energy**: -1.98 eV per atom

Entry 5:
Compound: TaZnIr2
Source: Alexandria
Functional: PBE
Structure: optimized geometry

```
data_TaZnIr2
_cell_length_a 2.8672
_cell_length_b 2.8672
_cell_length_c 26.0895
_cell_angle_alpha 90.00
_cell_angle_beta 90.00
_cell_angle_gamma 120.00
_symmetry_space_group_name_H-M 'R -3 m'
_symmetry_Int_Tables_number 166
_symmetry_space_group_name_Hall '-R 3 2"'
loop_
_atom_site_label
_atom_site_fract_x
_atom_site_fract_y
_atom_site_fract_z
_atom_site_occupancy
Ta1 0.0000 0.0000 0.0000 1
Zn1 0.0000 0.0000 0.5000 1
Ir1 0.0000 0.0000 0.2492 1
```

Summary:
**Volume**: 15.5 A^3/atom
**Magnetization**: 0.00 μB per formula unit
**E_form**: -0.25 eV per atom
**Uncorrected energy**: -7.97 eV per atom

Entry 6:
Compound: Sr2BiSbAu6
Source: Alexandria
Functional: PBE
Structure: optimized geometry

```
data_Sr2BiSbAu6
_cell_length_a 5.722
_cell_length_b 9.058
_cell_length_c 10.320
_cell_angle_alpha 90.00
_cell_angle_beta 90.00
_cell_angle_gamma 90.00
_symmetry_space_group_name_H-M 'P m m n'
_symmetry_Int_Tables_number 59
loop_
_symmetry_equiv_pos_as_xyz
'x,y,z'
'-x,-y,-z'
'-x+1/2,-y+1/2,z'
'x+1/2,y+1/2,-z'
'x+1/2,-y,-z'
'-x+1/2,y,z'
'-x,y+1/2,-z'
'x,-y+1/2,z'
loop_
_atom_site_label
_atom_site_fract_x
_atom_site_fract_y
_atom_site_fract_z
_atom_site_occupancy
Sr1 0.250 0.004 0.243 1
Bi1 0.250 0.250 0.780 1
Sb1 0.250 0.750 0.757 1
Au1 0.001 0.250 0.018 1
Au2 0.002 0.250 0.505 1
Au3 0.250 0.502 0.592 1
```

Summary:
**Volume**: 26.7 A^3/atom
**Magnetization**: 0.00 μB per formula unit
**Formation energy from raw total energies**: -0.4365 eV per atom
**Uncorrected energy**: -3.54 eV per atom

Entry 7:
Compound: Y2MgNi4Sn3
Source: Alexandria
Functional: PBE
Structure: optimized geometry

```
data_Y2MgNi4Sn3
_cell_length_a 4.313
_cell_length_b 4.313
_cell_length_c 10.364
_cell_angle_alpha 90.00
_cell_angle_beta 90.00
_cell_angle_gamma 90.00
_symmetry_space_group_name_H-M 'P -4 m 2'
_symmetry_Int_Tables_number 115
_symmetry_space_group_name_Hall 'P -4 -2'
loop_
_atom_site_label
_atom_site_fract_x
_atom_site_fract_y
_atom_site_fract_z
_atom_site_occupancy
Y1 0.000 0.500 0.239 1
Mg1 0.000 0.000 0.500 1
Ni1 0.000 0.000 0.000 1
Ni2 0.000 0.500 0.634 1
Ni3 0.500 0.500 0.000 1
Sn1 0.000 0.500 0.871 1
Sn2 0.500 0.500 0.500 1
```

Summary:
**Volume**: 19.3 A^3/atom
**Magnetization**: 0.00 μB per formula unit
**E_form**: -0.46 eV per atom
**Uncorrected energy**: -5.43 eV per atom

Entry 8:
Compound: Dy3Y
Source: Alexandria
Functional: PBE
Structure: optimized geometry

```
data_Dy3Y
_cell_length_a 7.2375
_cell_length_b 7.2375
_cell_length_c 5.6571
_cell_angle_alpha 90.00
_cell_angle_beta 90.00
_cell_angle_gamma 120.00
_symmetry_space_group_name_H-M 'P 63/m m c'
_symmetry_Int_Tables_number 194
_symmetry_space_group_name_Hall '-P 6c 2c'
loop_
_atom_site_label
_atom_site_fract_x
_atom_site_fract_y
_atom_site_fract_z
_atom_site_occupancy
Dy1 0.1661 0.3323 0.2500 1
Y1 0.3333 0.6667 0.7500 1
```

Summary:
**Volume**: 32.1 A^3/atom
**Energy relative to the lowest polymorph listed for this composition**: 3 meV per atom
**Magnetization**: 0.00 μB per formula unit
**E_form**: 0.01 eV per atom
**Uncorrected energy**: -5.06 eV per atom

| no. | mass density (kg/m3) |
| --- | --- |
| 1 | 12625 |
| 2 | 6214 |
| 3 | 6942 |
| 4 | 4141 |
| 5 | 16918 |
| 6 | 10479 |
| 7 | 6830 |
| 8 | 7459 |